<a>
A plane-wave DFT calculation with GGA-PBE was carried out for a geometry-optimized HgAs2Se structure.

Computed properties:
Volume, A^3/atom: 24.07

CIF file:
```
data_HgAs2Se
_cell_length_a 3.901
_cell_length_b 3.901
_cell_length_c 6.328
_cell_angle_alpha 90.00
_cell_angle_beta 90.00
_cell_angle_gamma 90.00
_symmetry_space_group_name_H-M 'P 1'
_symmetry_Int_Tables_number 1
loop_
_symmetry_equiv_pos_as_xyz
'x,y,z'
loop_
_atom_site_label
_atom_site_fract_x
_atom_site_fract_y
_atom_site_fract_z
Hg1 0.000 0.000 0.000
As1 0.000 0.000 0.581
As2 0.500 0.500 0.539
Se1 0.500 0.500 0.158
```

***

<b>
A plane-wave DFT calculation with GGA-PBE was carried out for a geometry-optimized HgAs2Se structure.

Computed properties:
Volume, A^3/atom: 23.65

CIF file:
```
data_HgAs2Se
_cell_length_a 6.219
_cell_length_b 6.219
_cell_length_c 4.332
_cell_angle_alpha 108.15
_cell_angle_beta 108.15
_cell_angle_gamma 36.70
_symmetry_space_group_name_H-M 'P 1'
_symmetry_Int_Tables_number 1
loop_
_symmetry_equiv_pos_as_xyz
'x,y,z'
loop_
_atom_site_label
_atom_site_fract_x
_atom_site_fract_y
_atom_site_fract_z
Hg1 0.000 0.000 0.000
As1 0.255 0.255 0.318
As2 0.745 0.745 0.682
Se1 0.500 0.500 0.500
```

***

What should be chosen as the most stable of them? Choose <a>.

***

<a>
A plane-wave DFT calculation with GGA-PBE was carried out for a geometry-optimized HgAs2Se structure.

Computed properties:
Volume, A^3/atom: 24.35

CIF file:
```
data_HgAs2Se
_cell_length_a 5.751
_cell_length_b 5.164
_cell_length_c 4.887
_cell_angle_alpha 69.74
_cell_angle_beta 57.40
_cell_angle_gamma 52.86
_symmetry_space_group_name_H-M 'P 1'
_symmetry_Int_Tables_number 1
loop_
_symmetry_equiv_pos_as_xyz
'x,y,z'
loop_
_atom_site_label
_atom_site_fract_x
_atom_site_fract_y
_atom_site_fract_z
Hg1 0.000 0.000 0.000
As1 0.502 0.982 0.018
As2 0.982 0.502 0.498
Se1 0.558 0.558 0.442
```

***

<b>
A plane-wave DFT calculation with GGA-PBE was carried out for a geometry-optimized HgAs2Se structure.

Computed properties:
Volume, A^3/atom: 32.25

CIF file:
```
data_HgAs2Se
_cell_length_a 9.455
_cell_length_b 9.455
_cell_length_c 9.455
_cell_angle_alpha 156.99
_cell_angle_beta 156.99
_cell_angle_gamma 32.76
_symmetry_space_group_name_H-M 'P 1'
_symmetry_Int_Tables_number 1
loop_
_symmetry_equiv_pos_as_xyz
'x,y,z'
loop_
_atom_site_label
_atom_site_fract_x
_atom_site_fract_y
_atom_site_fract_z
Hg1 0.000 0.000 0.000
As1 0.250 0.750 0.500
As2 0.750 0.250 0.500
Se1 0.500 0.500 0.000
```

***

What should be chosen as the most stable of them? Choose <a>.

***

<a>
A plane-wave DFT calculation with GGA-PBE was carried out for a geometry-optimized HgAs2Se structure.

Computed properties:
Volume, A^3/atom: 25.33

CIF file:
```
data_HgAs2Se
_cell_length_a 3.048
_cell_length_b 3.048
_cell_length_c 10.909
_cell_angle_alpha 90.00
_cell_angle_beta 90.00
_cell_angle_gamma 90.00
_symmetry_space_group_name_H-M 'P 1'
_symmetry_Int_Tables_number 1
loop_
_symmetry_equiv_pos_as_xyz
'x,y,z'
loop_
_atom_site_label
_atom_site_fract_x
_atom_site_fract_y
_atom_site_fract_z
Hg1 0.000 0.000 0.000
As1 0.000 0.000 0.555
As2 0.500 0.500 0.693
Se1 0.500 0.500 0.274
```

***

<b>
A plane-wave DFT calculation with GGA-PBE was carried out for a geometry-optimized HgAs2Se structure.

Computed properties:
Volume, A^3/atom: 28.64

CIF file:
```
data_HgAs2Se
_cell_length_a 7.071
_cell_length_b 7.071
_cell_length_c 4.852
_cell_angle_alpha 103.64
_cell_angle_beta 103.64
_cell_angle_gamma 29.13
_symmetry_space_group_name_H-M 'P 1'
_symmetry_Int_Tables_number 1
loop_
_symmetry_equiv_pos_as_xyz
'x,y,z'
loop_
_atom_site_label
_atom_site_fract_x
_atom_site_fract_y
_atom_site_fract_z
Hg1 0.000 0.000 0.000
As1 0.260 0.260 0.873
As2 0.645 0.645 0.582
Se1 0.778 0.778 0.330
```

***

<c>
A plane-wave DFT calculation with GGA-PBE was carried out for a geometry-optimized HgAs2Se structure.

Computed properties:
Volume, A^3/atom: 23.25

CIF file:
```
data_HgAs2Se
_cell_length_a 2.994
_cell_length_b 2.994
_cell_length_c 10.925
_cell_angle_alpha 90.00
_cell_angle_beta 90.00
_cell_angle_gamma 108.31
_symmetry_space_group_name_H-M 'P 1'
_symmetry_Int_Tables_number 1
loop_
_symmetry_equiv_pos_as_xyz
'x,y,z'
loop_
_atom_site_label
_atom_site_fract_x
_atom_site_fract_y
_atom_site_fract_z
Hg1 0.000 0.000 0.000
As1 0.000 0.000 0.472
As2 0.500 0.500 0.298
Se1 0.500 0.500 0.719
```

***

What should be chosen as the most stable of them? Choose <b>.

***

<a>
A plane-wave DFT calculation with GGA-PBE was carried out for a geometry-optimized HgAsSe structure.

Computed properties:
Volume, A^3/atom: 28.99

CIF file:
```
data_HgAsSe
_cell_length_a 3.614
_cell_length_b 6.401
_cell_length_c 7.861
_cell_angle_alpha 100.34
_cell_angle_beta 103.26
_cell_angle_gamma 90.09
_symmetry_space_group_name_H-M 'P 1'
_symmetry_Int_Tables_number 1
loop_
_symmetry_equiv_pos_as_xyz
'x,y,z'
loop_
_atom_site_label
_atom_site_fract_x
_atom_site_fract_y
_atom_site_fract_z
Hg1 0.062 0.188 0.123
Hg2 0.938 0.812 0.877
As1 0.182 0.548 0.363
As2 0.818 0.452 0.637
Se1 0.372 0.242 0.746
Se2 0.628 0.758 0.254
```

***

<b>
A plane-wave DFT calculation with GGA-PBE was carried out for a geometry-optimized HgAsSe structure.

Computed properties:
Volume, A^3/atom: 23.51

CIF file:
```
data_HgAsSe
_cell_length_a 3.818
_cell_length_b 3.818
_cell_length_c 5.588
_cell_angle_alpha 90.00
_cell_angle_beta 90.00
_cell_angle_gamma 120.00
_symmetry_space_group_name_H-M 'P 1'
_symmetry_Int_Tables_number 1
loop_
_symmetry_equiv_pos_as_xyz
'x,y,z'
loop_
_atom_site_label
_atom_site_fract_x
_atom_site_fract_y
_atom_site_fract_z
Hg1 0.000 0.000 0.000
As1 0.333 0.667 0.658
Se1 0.667 0.333 0.373
```

***

<c>
A plane-wave DFT calculation with GGA-PBE was carried out for a geometry-optimized HgAsSe structure.

Computed properties:
Volume, A^3/atom: 22.91

CIF file:
```
data_HgAsSe
_cell_length_a 5.267
_cell_length_b 5.267
_cell_length_c 2.862
_cell_angle_alpha 90.00
_cell_angle_beta 90.00
_cell_angle_gamma 120.00
_symmetry_space_group_name_H-M 'P 1'
_symmetry_Int_Tables_number 1
loop_
_symmetry_equiv_pos_as_xyz
'x,y,z'
loop_
_atom_site_label
_atom_site_fract_x
_atom_site_fract_y
_atom_site_fract_z
Hg1 0.000 0.000 0.000
As1 0.333 0.667 0.000
Se1 0.667 0.333 0.000
```

***

What should be chosen as the most stable of them? Choose <a>.